Nd4Ho2Th | PBE | relaxed

Structure (extended XYZ):
```
14
Lattice="6.8076 0.0000 0.0000 3.4038 8.3383 -1.1948 3.4038 1.5845 8.2731" Properties=species:S:1:pos:R:3 pbc="T T T"
Nd 8.6863 3.1537 5.8211
Nd 4.9289 6.7690 1.2572
Nd 6.8076 8.3744 6.0163
Nd 3.4038 3.4532 2.4207
Nd 8.6863 6.7690 1.2572
Nd 10.2114 6.4696 4.6575
Nd 4.9289 3.1537 5.8211
Nd 6.8076 1.5484 1.0620
Ho 3.4038 0.0000 0.0000
Ho 6.8076 4.9614 3.5391
Ho 6.8076 8.8445 2.7376
Ho 6.8076 1.0783 4.3406
Th 5.1057 4.1691 -0.5974
Th 1.7019 4.1691 -0.5974
```

- Calculated formation energy: 298.2 meV per atom
- Space group: No. 74
- Energy above the lowest structure with this stoichiometry: 0.2565 eV per atom
- Total magnetization: 0.0000 μB per atom


MnCrFe | PBE | relaxed

Structure (extended XYZ):
```
6
Lattice="2.5944 -0.3347 -0.2645 -0.5268 4.9708 -1.6724 -0.3772 0.6889 5.2122" Properties=species:S:1:pos:R:3 pbc="T T T"
Cr -0.0806 2.6937 0.4335
Cr 1.2556 1.4113 2.0941
Mn 1.9551 4.4416 -0.8806
Mn 0.7706 1.3805 4.4425
Fe 0.1023 3.4332 3.3199
Fe 1.3624 4.3300 1.4766
```

- Calculated formation energy: 190.9 meV per atom
- Space group: No. 9
- Energy above the lowest structure with this stoichiometry: 0.1284 eV per atom
- Total magnetization: 0.8533 μB per atom